# 1
TlPt2Au, relaxed, DFT GGA-PBE; total energy = -0.3271 Ry per atom
1.0
4.037 0.000 0.000
0.000 4.209 0.000
0.000 0.000 4.209
Tl Au Pt
1 1 2
Direct
0.500 0.500 0.000
0.500 0.000 0.500
0.000 0.000 0.000
0.000 0.500 0.500

---

# 2
La2BeCu, relaxed, DFT GGA-PBE; energy relative to the lowest polymorph listed for this composition = 0.16 eV per formula unit
1.0
0.000 3.638 3.638
3.638 0.000 3.638
3.638 3.638 0.000
Be Cu La
1 1 2
Direct
0.000 0.000 0.000
0.500 0.500 0.500
0.250 0.250 0.250
0.750 0.750 0.750

---

# 3
K2MoI2Br4, relaxed, DFT GGA-PBE; uncorrected formation energy = -0.96 eV per atom
1.0
-2.384 -2.314 7.088
0.479 -7.426 1.884
5.199 -2.407 5.110
K Mo I Br
2 1 2 4
Direct
0.287 0.748 0.748
0.713 0.252 0.252
0.500 0.000 0.000
0.181 0.246 0.246
0.819 0.754 0.754
0.310 0.724 0.200
0.690 0.800 0.276
0.690 0.276 0.800
0.310 0.200 0.724

---

# 4
SiIr2Au, relaxed, DFT GGA-PBE; uncorrected formation energy = -0.09 eV per atom
1.0
-4.780 -1.569 0.287
-3.461 -2.640 2.538
-2.508 2.870 2.834
Au Ir Si
1 2 1
Direct
0.750 0.750 0.750
0.962 0.962 0.032
0.538 0.538 0.468
0.250 0.250 0.250

---

no.,M_tot (μB per formula unit)
1,0.00
2,0.00
3,2.00
4,0.00